First-principles (PBE) data for a relaxed structure of Tb5Nd2Tm3, as listed in Alexandria via LeMat-Bulk.

Geometry as extended XYZ:
```
20
Lattice="6.779 0.000 0.000 3.389 11.457 2.843 3.389 5.782 10.292" Properties=species:S:1:pos:R:3 pbc="T T T"
Tb 5.084 8.620 6.568
Tb 8.474 8.620 6.568
Tb 8.474 12.923 9.847
Tb 8.474 4.316 3.289
Tb 5.084 4.316 3.289
Tb 5.084 12.923 9.847
Tb 3.389 6.977 4.254
Tb 10.168 10.262 8.882
Tb 6.779 5.953 5.598
Tb 6.779 11.287 7.537
Nd 6.779 14.520 12.269
Nd 6.779 2.720 0.867
Nd 10.168 15.682 10.743
Nd 3.389 1.558 2.392
Tm 1.695 0.000 0.000
Tm 5.084 0.000 0.000
Tm 6.779 9.312 10.049
Tm 6.779 7.927 3.087
Tm 10.168 12.160 6.312
Tm 3.389 5.080 6.824
```

Output
Calculated formation energy, eV per formula unit: 4.08
Energy above the lowest structure with this stoichiometry, meV per atom: 213
D(E_F), states/eV/atom: 1.481
DFT total energy, eV per atom: -4.202